Arrangement 1

AcNdZnPd | GGA-PBE | optimized geometry

Results
Spin magnetization (Bohr magnetons per cell): 0.00
Space-group type: No. 216

Unit cell a=5.3215 b=5.3215 c=5.3215 alpha=60.00 beta=60.00 gamma=60.00
Fractional positions:
Ac  0.0000  0.0000  0.0000
Nd  0.5000  0.5000  0.5000
Zn  0.2500  0.2500  0.2500
Pd  0.7500  0.7500  0.7500

Arrangement 2

AcNdZnPd | GGA-PBE | optimized geometry

Results
Spin magnetization (Bohr magnetons per cell): 0.00
Space-group type: No. 38

Unit cell a=4.6155 b=5.9405 c=5.9405 alpha=42.26 beta=90.00 gamma=90.00
Fractional positions:
Ac  0.0000  0.0000  0.0000
Nd  0.5000  0.2830  0.2830
Zn  0.5000  0.5783  0.5783
Pd  0.0000  0.7163  0.7163

arrangement 2 ends up most stable, edging out the next structure by 46 meV per atom.

Arrangement 1

Ac2PmNd8 | GGA-PBE | optimized geometry

Results
Spin magnetization (Bohr magnetons per cell): 0.00
Space-group type: No. 12

Unit cell a=10.7229 b=10.7229 c=5.7799 alpha=93.10 beta=93.10 gamma=39.20
Fractional positions:
Ac  0.2186  0.2186  0.2566
Ac  0.7814  0.7814  0.7434
Pm  0.5000  0.5000  0.0000
Nd  0.0442  0.0442  0.2363
Nd  0.1116  0.6413  0.2670
Nd  0.3234  0.3234  0.7739
Nd  0.3587  0.8884  0.7330
Nd  0.6413  0.1116  0.2670
Nd  0.6766  0.6766  0.2261
Nd  0.8884  0.3587  0.7330
Nd  0.9558  0.9558  0.7637

Arrangement 2

Ac2PmNd8 | GGA-PBE | optimized geometry

Results
Spin magnetization (Bohr magnetons per cell): 0.00
Space-group type: No. 12

Unit cell a=7.4966 b=7.4966 c=8.9848 alpha=101.06 beta=101.06 gamma=56.65
Fractional positions:
Ac  0.1699  0.1699  0.1911
Ac  0.8301  0.8301  0.8089
Pm  0.0000  0.0000  0.5000
Nd  0.2141  0.6679  0.1624
Nd  0.2784  0.2784  0.8271
Nd  0.3321  0.7859  0.8376
Nd  0.3738  0.3738  0.5123
Nd  0.6262  0.6262  0.4877
Nd  0.6679  0.2141  0.1624
Nd  0.7216  0.7216  0.1729
Nd  0.7859  0.3321  0.8376

arrangement 2 ends up most stable, edging out the next structure by 23 meV per atom.

Arrangement 1

Ac2Pm3Nd7 | GGA-PBE | optimized geometry

Results
Spin magnetization (Bohr magnetons per cell): 0.00
Space-group type: No. 10

Unit cell a=6.5738 b=3.6836 c=18.3434 alpha=90.00 beta=96.47 gamma=90.00
Fractional positions:
Ac  0.0594  0.0000  0.1725
Ac  0.9406  0.0000  0.8275
Pm  0.4504  0.5000  0.8387
Pm  0.5000  0.0000  0.5000
Pm  0.5496  0.5000  0.1613
Nd  0.0000  0.5000  0.5000
Nd  0.2289  0.0000  0.6643
Nd  0.2603  0.0000  0.9989
Nd  0.2782  0.5000  0.3392
Nd  0.7218  0.5000  0.6608
Nd  0.7397  0.0000  0.0011
Nd  0.7711  0.0000  0.3357

Arrangement 2

Ac2Pm3Nd7 | GGA-PBE | optimized geometry

Results
Spin magnetization (Bohr magnetons per cell): 0.00
Space-group type: No. 10

Unit cell a=6.0400 b=3.7211 c=19.8473 alpha=90.00 beta=93.34 gamma=90.00
Fractional positions:
Ac  0.2032  0.0000  0.2942
Ac  0.7968  0.0000  0.7058
Pm  0.0000  0.0000  0.0000
Pm  0.2832  0.5000  0.6277
Pm  0.7168  0.5000  0.3723
Nd  0.1772  0.5000  0.1395
Nd  0.2426  0.0000  0.4659
Nd  0.3204  0.0000  0.8294
Nd  0.5000  0.5000  0.0000
Nd  0.6796  0.0000  0.1706
Nd  0.7574  0.0000  0.5341
Nd  0.8228  0.5000  0.8605

arrangement 1 ends up most stable, edging out the next structure by 14 meV per atom.

Arrangement 1

Ac2Pm5Nd4 | GGA-PBE | optimized geometry

Results
Spin magnetization (Bohr magnetons per cell): 0.00
Space-group type: No. 12

Unit cell a=12.6746 b=12.6746 c=9.5392 alpha=111.73 beta=111.73 gamma=16.76
Fractional positions:
Ac  0.1123  0.1123  0.4270
Ac  0.8877  0.8877  0.5730
Pm  0.1303  0.1303  0.0704
Pm  0.2676  0.2676  0.6653
Pm  0.5000  0.5000  0.0000
Pm  0.7323  0.7323  0.3347
Pm  0.8697  0.8697  0.9296
Nd  0.0434  0.0434  0.7098
Nd  0.3160  0.3160  0.1640
Nd  0.6840  0.6840  0.8360
Nd  0.9566  0.9566  0.2902

Arrangement 2

Ac2Pm5Nd4 | GGA-PBE | optimized geometry

Results
Spin magnetization (Bohr magnetons per cell): 0.00
Space-group type: No. 12

Unit cell a=7.4108 b=7.4108 c=10.9283 alpha=121.45 beta=121.45 gamma=56.41
Fractional positions:
Ac  0.0666  0.0666  0.2418
Ac  0.9334  0.9334  0.7582
Pm  0.0793  0.6077  0.3329
Pm  0.3923  0.9207  0.6671
Pm  0.5000  0.5000  0.0000
Pm  0.6077  0.0793  0.3329
Pm  0.9207  0.3923  0.6671
Nd  0.2617  0.2617  0.0307
Nd  0.3881  0.3881  0.6257
Nd  0.6119  0.6119  0.3743
Nd  0.7383  0.7383  0.9693

arrangement 1 ends up most stable, edging out the next structure by 9 meV per atom.

Arrangement 1

Ac4Pm2Nd | GGA-PBE | optimized geometry

Results
Spin magnetization (Bohr magnetons per cell): 0.00
Space-group type: No. 12

Unit cell a=7.2583 b=7.2583 c=9.0243 alpha=122.24 beta=122.24 gamma=49.73
Fractional positions:
Ac  0.1617  0.1617  0.0223
Ac  0.1690  0.1690  0.5564
Ac  0.8310  0.8310  0.4436
Ac  0.8383  0.8383  0.9777
Pm  0.4926  0.4926  0.3300
Pm  0.5074  0.5074  0.6700
Nd  0.5000  0.5000  0.0000

Arrangement 2

Ac4Pm2Nd | GGA-PBE | optimized geometry

Results
Spin magnetization (Bohr magnetons per cell): 0.00
Space-group type: No. 166

Unit cell a=9.2720 b=9.2720 c=9.2720 alpha=39.12 beta=39.12 gamma=39.12
Fractional positions:
Ac  0.0767  0.0767  0.0767
Ac  0.2272  0.2272  0.2272
Ac  0.7728  0.7728  0.7728
Ac  0.9233  0.9233  0.9233
Pm  0.3637  0.3637  0.3637
Pm  0.6363  0.6363  0.6363
Nd  0.5000  0.5000  0.5000

arrangement 2 ends up most stable, edging out the next structure by 86 meV per atom.

Arrangement 1

AcPm3Nd6 | GGA-PBE | optimized geometry

Results
Spin magnetization (Bohr magnetons per cell): 0.00
Space-group type: No. 36

Unit cell a=10.1333 b=10.1333 c=7.1574 alpha=90.00 beta=90.00 gamma=94.76
Fractional positions:
Ac  0.1967  0.8033  0.5000
Ac  0.8033  0.1967  0.0000
Pm  0.1870  0.2403  0.4746
Pm  0.2403  0.1870  0.9746
Pm  0.4096  0.5904  0.7124
Pm  0.5904  0.4096  0.2124
Pm  0.7597  0.8130  0.4746
Pm  0.8130  0.7597  0.9746
Nd  0.0050  0.9950  0.2300
Nd  0.0563  0.4770  0.7785
Nd  0.2073  0.7927  0.9929
Nd  0.2731  0.4940  0.1872
Nd  0.4770  0.0563  0.2785
Nd  0.4940  0.2731  0.6872
Nd  0.5060  0.7269  0.1872
Nd  0.5230  0.9437  0.7785
Nd  0.7269  0.5060  0.6872
Nd  0.7927  0.2073  0.4929
Nd  0.9437  0.5230  0.2785
Nd  0.9950  0.0050  0.7300

Arrangement 2

AcPm3Nd6 | GGA-PBE | optimized geometry

Results
Spin magnetization (Bohr magnetons per cell): 0.00
Space-group type: No. 11

Unit cell a=12.3925 b=3.6656 c=16.4240 alpha=90.00 beta=104.18 gamma=90.00
Fractional positions:
Ac  0.1338  0.2500  0.0618
Ac  0.8662  0.7500  0.9382
Pm  0.1122  0.2500  0.6708
Pm  0.3838  0.2500  0.4284
Pm  0.3994  0.2500  0.2170
Pm  0.6006  0.7500  0.7830
Pm  0.6162  0.7500  0.5716
Pm  0.8878  0.7500  0.3292
Nd  0.1116  0.2500  0.4605
Nd  0.1154  0.7500  0.8553
Nd  0.1568  0.7500  0.2743
Nd  0.3383  0.7500  0.6131
Nd  0.3596  0.2500  0.8199
Nd  0.3814  0.7500  0.0210
Nd  0.6186  0.2500  0.9790
Nd  0.6404  0.7500  0.1801
Nd  0.6617  0.2500  0.3869
Nd  0.8432  0.2500  0.7257
Nd  0.8846  0.2500  0.1447
Nd  0.8884  0.7500  0.5395

arrangement 2 ends up most stable, edging out the next structure by 138 meV per atom.

Arrangement 1

AcPm8Nd2 | GGA-PBE | optimized geometry

Results
Spin magnetization (Bohr magnetons per cell): 0.00
Space-group type: No. 71

Unit cell a=9.6461 b=9.6461 c=9.6461 alpha=145.88 beta=127.48 gamma=64.12
Fractional positions:
Ac  0.0000  0.0000  0.0000
Pm  0.1528  0.8560  0.2967
Pm  0.1587  0.6587  0.5000
Pm  0.2966  0.5000  0.7966
Pm  0.4407  0.1440  0.2967
Pm  0.5593  0.8560  0.7033
Pm  0.7034  0.5000  0.2034
Pm  0.8413  0.3413  0.5000
Pm  0.8472  0.1440  0.7033
Nd  0.2996  0.2996  0.0000
Nd  0.7004  0.7004  0.0000

Arrangement 2

AcPm8Nd2 | GGA-PBE | optimized geometry

Results
Spin magnetization (Bohr magnetons per cell): 0.00
Space-group type: No. 12

Unit cell a=10.4995 b=10.4995 c=5.6985 alpha=93.65 beta=93.65 gamma=40.25
Fractional positions:
Ac  0.0000  0.0000  0.0000
Pm  0.1354  0.5985  0.2720
Pm  0.1892  0.1892  0.2320
Pm  0.4015  0.8646  0.7280
Pm  0.4557  0.4557  0.7590
Pm  0.5443  0.5443  0.2410
Pm  0.5985  0.1354  0.2720
Pm  0.8108  0.8108  0.7680
Pm  0.8646  0.4015  0.7280
Nd  0.2852  0.2852  0.7485
Nd  0.7148  0.7148  0.2515

arrangement 1 ends up most stable, edging out the next structure by 13 meV per atom.

Arrangement 1

Ac2Pm8Nd3 | GGA-PBE | optimized geometry

Results
Spin magnetization (Bohr magnetons per cell): 0.00
Space-group type: No. 12

Unit cell a=9.0493 b=9.0493 c=6.3591 alpha=107.11 beta=107.11 gamma=83.43
Fractional positions:
Ac  0.2029  0.2029  0.3563
Ac  0.7971  0.7971  0.6437
Pm  0.0683  0.0683  0.7748
Pm  0.0744  0.5836  0.3196
Pm  0.3474  0.3474  0.9615
Pm  0.4164  0.9256  0.6804
Pm  0.5836  0.0744  0.3196
Pm  0.6526  0.6526  0.0385
Pm  0.9256  0.4164  0.6804
Pm  0.9317  0.9317  0.2252
Nd  0.2565  0.7435  0.0000
Nd  0.5000  0.5000  0.5000
Nd  0.7435  0.2565  0.0000

Arrangement 2

Ac2Pm8Nd3 | GGA-PBE | optimized geometry

Results
Spin magnetization (Bohr magnetons per cell): 0.00
Space-group type: No. 166

Unit cell a=13.0963 b=13.0963 c=13.0963 alpha=29.81 beta=29.81 gamma=29.81
Fractional positions:
Ac  0.1394  0.1394  0.1394
Ac  0.8606  0.8606  0.8606
Pm  0.2209  0.2209  0.7216
Pm  0.2209  0.7216  0.2209
Pm  0.2274  0.2274  0.2274
Pm  0.2784  0.7791  0.7791
Pm  0.7216  0.2209  0.2209
Pm  0.7726  0.7726  0.7726
Pm  0.7791  0.2784  0.7791
Pm  0.7791  0.7791  0.2784
Nd  0.3122  0.3122  0.3122
Nd  0.5000  0.5000  0.5000
Nd  0.6878  0.6878  0.6878

arrangement 1 ends up most stable, edging out the next structure by 88 meV per atom.